A relaxed Ti2PdW crystal, computed with PBE.

a = 3.895 Å, b = 3.895 Å, c = 9.522 Å
α = 78.20°, β = 78.20°, γ = 90.00°
Fractional coordinates of all 8 atoms:
Pd (0.500, 0.500, 0.000)
Pd (0.250, 0.750, 0.500)
W (0.000, 0.000, 0.000)
W (0.750, 0.250, 0.500)
Ti (0.632, 0.125, 0.250)
Ti (0.118, 0.625, 0.250)
Ti (0.375, 0.368, 0.750)
Ti (0.875, 0.882, 0.750)

Fermi-level density of states   10.1 states/eV per cell
Energy of formation   0.486 eV per atom

---

A relaxed YAl2OsRh crystal, computed with PBE.

a = 4.639 Å, b = 4.927 Å, c = 4.639 Å
α = 90.00°, β = 90.00°, γ = 90.00°
Fractional coordinates of all 5 atoms:
Y (0.500, 0.500, 0.500)
Rh (0.000, 0.500, 0.000)
Os (0.000, 0.000, 0.000)
Al (0.000, 0.000, 0.500)
Al (0.500, 0.000, 0.000)

Fermi-level density of states   3.1 states/eV per cell
Energy of formation   0.044 eV per atom

---

A relaxed ScSiTeN2 crystal, computed with PBE.

a = 4.101 Å, b = 4.101 Å, c = 5.974 Å
α = 90.00°, β = 90.00°, γ = 90.00°
Last column: magnetic moment on the atom in μB.
Fractional coordinates of all 5 atoms:
Sc (0.000, 0.000, 0.000)  -0.01
Si (0.500, 0.500, 0.500)  -0.01
Te (0.000, 0.000, 0.500)  0.05
N (0.000, 0.500, 0.000)  0.33
N (0.500, 0.000, 0.000)  0.33

Raw formation energy   79.48 kJ per mole of atoms
Fermi-level density of states   3.8 states/eV per cell

---

A relaxed LuPaTcAg crystal, computed with PBE.

a = 4.944 Å, b = 4.944 Å, c = 4.944 Å
α = 60.00°, β = 60.00°, γ = 60.00°
Fractional coordinates of all 4 atoms:
Pa (0.500, 0.500, 0.500)
Lu (0.000, 0.000, 0.000)
Tc (0.750, 0.750, 0.750)
Ag (0.250, 0.250, 0.250)

Fermi-level density of states   6.2 states/eV per cell
Energy of formation   -0.029 eV per atom

---

A relaxed Ti2Mn2P crystal, computed with PBE.

a = 6.349 Å, b = 6.349 Å, c = 3.998 Å
α = 90.00°, β = 90.00°, γ = 90.00°
Last column: magnetic moment on the atom in μB.
Fractional coordinates of all 10 atoms:
P (0.000, 0.000, 0.000)  0.07
P (0.500, 0.500, 0.000)  0.07
Mn (0.147, 0.647, 0.500)  3.46
Mn (0.647, 0.853, 0.500)  3.45
Mn (0.853, 0.353, 0.500)  3.46
Mn (0.353, 0.147, 0.500)  3.45
Ti (0.348, 0.848, 0.000)  -0.28
Ti (0.848, 0.652, 0.000)  -0.27
Ti (0.652, 0.152, 0.000)  -0.27
Ti (0.152, 0.348, 0.000)  -0.27

Fermi-level density of states   8.3 states/eV per cell
Energy of formation   -0.024 eV per atom

---

A relaxed MnGa2Cu crystal, computed with PBE.

a = 2.810 Å, b = 2.810 Å, c = 8.387 Å
α = 80.36°, β = 80.36°, γ = 60.00°
Last column: magnetic moment on the atom in μB.
Fractional coordinates of all 4 atoms:
Mn (0.501, 0.501, 0.498)  2.71
Ga (0.084, 0.084, 0.749)  -0.04
Ga (0.250, 0.250, 0.251)  -0.05
Cu (0.666, 0.666, 0.002)  0.01

Fermi-level density of states   2.2 states/eV per cell
Energy of formation   -0.021 eV per atom

---

A relaxed FeCu6Pd5 crystal, computed with PBE.

a = 3.879 Å, b = 7.227 Å, c = 7.111 Å
α = 120.54°, β = 105.83°, γ = 90.00°
Last column: magnetic moment on the atom in μB.
Fractional coordinates of all 12 atoms:
Pd (0.656, 0.156, 0.313)  0.17
Pd (0.330, 0.330, 0.660)  0.03
Pd (0.000, 0.500, 0.000)  0.01
Pd (0.670, 0.670, 0.340)  0.03
Pd (0.344, 0.844, 0.687)  0.17
Fe (0.000, 0.000, 0.000)  3.18
Cu (0.834, 0.583, 0.668)  0.06
Cu (0.834, 0.085, 0.668)  0.06
Cu (0.500, 0.745, 0.000)  0.07
Cu (0.500, 0.255, 0.000)  0.07
Cu (0.166, 0.915, 0.332)  0.06
Cu (0.166, 0.417, 0.332)  0.06

Fermi-level density of states   8.0 states/eV per cell
Energy of formation   -0.064 eV per atom

---

A relaxed ThZn9Pd3 crystal, computed with PBE.

a = 5.306 Å, b = 6.896 Å, c = 6.898 Å
α = 81.20°, β = 67.38°, γ = 66.57°
Fractional coordinates of all 13 atoms:
Th (0.000, 0.000, 0.000)
Zn (0.723, 0.783, 0.781)
Zn (0.277, 0.217, 0.219)
Zn (0.496, 0.217, 0.781)
Zn (0.504, 0.783, 0.219)
Zn (0.635, 0.348, 0.356)
Zn (0.365, 0.652, 0.644)
Zn (0.009, 0.652, 0.356)
Zn (0.991, 0.348, 0.644)
Zn (0.000, 0.500, 0.000)
Pd (0.500, 0.500, 0.000)
Pd (0.000, 0.000, 0.500)
Pd (0.500, 0.000, 0.500)

Fermi-level density of states   5.6 states/eV per cell
Energy of formation   -0.355 eV per atom

---

A relaxed SiRhI2 crystal, computed with PBE.

a = 6.532 Å, b = 6.532 Å, c = 7.611 Å
α = 64.59°, β = 64.59°, γ = 90.00°
Fractional coordinates of all 8 atoms:
I (0.665, 0.125, 0.250)
I (0.085, 0.625, 0.250)
I (0.375, 0.335, 0.750)
I (0.875, 0.915, 0.750)
Si (0.500, 0.500, 0.000)
Si (0.250, 0.750, 0.500)
Rh (0.000, 0.000, 0.000)
Rh (0.750, 0.250, 0.500)

Raw formation energy   60.94 kJ per mole of atoms
Fermi-level density of states   7.3 states/eV per cell

---

A relaxed Sm2ErTe4 crystal, computed with PBE.

a = 4.251 Å, b = 7.595 Å, c = 15.151 Å
α = 90.00°, β = 90.00°, γ = 106.25°
Fractional coordinates of all 14 atoms:
Sm (0.132, 0.263, 0.429)
Sm (0.868, 0.737, 0.929)
Sm (0.132, 0.263, 0.071)
Sm (0.868, 0.737, 0.571)
Er (0.628, 0.257, 0.750)
Er (0.372, 0.743, 0.250)
Te (0.782, 0.564, 0.125)
Te (0.782, 0.564, 0.375)
Te (0.218, 0.436, 0.875)
Te (0.218, 0.436, 0.625)
Te (0.975, 0.951, 0.750)
Te (0.025, 0.049, 0.250)
Te (0.500, 0.000, 0.000)
Te (0.500, 0.000, 0.500)

Raw formation energy   -129.74 kJ per mole of atoms
Fermi-level density of states   5.6 states/eV per cell

---

A relaxed InGeTeI2 crystal, computed with PBE.

a = 5.797 Å, b = 5.797 Å, c = 5.847 Å
α = 90.00°, β = 90.00°, γ = 90.00°
Last column: magnetic moment on the atom in μB.
Fractional coordinates of all 5 atoms:
I (0.000, 0.500, 0.000)  -0.01
I (0.500, 0.000, 0.000)  -0.01
Ge (0.500, 0.500, 0.500)  0.27
Te (0.000, 0.000, 0.500)  -0.09
In (0.000, 0.000, 0.000)  0.01

Raw formation energy   35.12 kJ per mole of atoms
Fermi-level density of states   2.4 states/eV per cell

---

A relaxed PmThSn crystal, computed with PBE.

a = 4.178 Å, b = 4.178 Å, c = 5.900 Å
α = 110.74°, β = 110.74°, γ = 90.00°
Fractional coordinates of all 3 atoms:
Sn (0.002, 0.002, 0.004)
Th (0.345, 0.345, 0.691)
Pm (0.652, 0.652, 0.305)

Fermi-level density of states   3.1 states/eV per cell
Energy of formation   -0.386 eV per atom

---

Question: What is the Fermi-level density of states in the eleventh record?
Answer: 2.4 states/eV per cell

---

Question: Which value of Fermi-level density of states does entry 3 give?
Answer: 3.8 states/eV per cell

---

Copy entry 9 word for word.
A relaxed SiRhI2 crystal, computed with PBE.

a = 6.532 Å, b = 6.532 Å, c = 7.611 Å
α = 64.59°, β = 64.59°, γ = 90.00°
Fractional coordinates of all 8 atoms:
I (0.665, 0.125, 0.250)
I (0.085, 0.625, 0.250)
I (0.375, 0.335, 0.750)
I (0.875, 0.915, 0.750)
Si (0.500, 0.500, 0.000)
Si (0.250, 0.750, 0.500)
Rh (0.000, 0.000, 0.000)
Rh (0.750, 0.250, 0.500)

Raw formation energy   60.94 kJ per mole of atoms
Fermi-level density of states   7.3 states/eV per cell